1.
The following is a PBE calculation of an optimized crystal structure of Ba3Ta2CuO9, from Alexandria via LeMat-Bulk.

Values from the calculation:
As for the total magnetization: 1.0 μB/f.u. For the uncorrected formation energy, the calculation gives -2.6427 eV/atom.

Cell and atoms, written as POSCAR:
```
Ba3Ta2CuO9
1.0
5.837 0.000 0.000
-2.919 5.055 0.000
0.000 0.000 7.188
O Ba Ta Cu
9 3 2 1
direct
0.345 0.172 0.677
0.000 0.500 0.000
0.500 0.000 0.000
0.172 0.345 0.323
0.828 0.172 0.677
0.828 0.655 0.677
0.500 0.500 0.000
0.655 0.828 0.323
0.172 0.828 0.323
0.667 0.333 0.340
0.333 0.667 0.660
0.000 0.000 0.000
0.667 0.333 0.825
0.333 0.667 0.175
0.000 0.000 0.500
```

***

2.
The following is a PBE calculation of an optimized crystal structure of NdY2Zn2, from Alexandria via LeMat-Bulk.

Values from the calculation:
As for the total magnetization: 0.0 μB/f.u. The calculated formation energy is -0.2594 eV per atom. The offset from the most stable computed form comes out at 0 kJ/mol of formula units.

Cell and atoms, written as POSCAR:
```
NdY2Zn2
1.0
-1.172 -2.562 2.319
4.220 -2.930 -1.104
7.292 7.199 8.768
Y Zn Nd
4 4 2
direct
0.232 0.750 0.464
0.953 0.250 0.907
0.047 0.750 0.093
0.768 0.250 0.536
0.640 0.750 0.280
0.360 0.250 0.720
0.454 0.750 0.907
0.546 0.250 0.093
0.856 0.750 0.714
0.144 0.250 0.286
```